Entry 1:
# In2PRh

A relaxed structure of In2PRh (PBEsol, Alexandria via LeMat-Bulk).

Symmetry = R-3m (166)
Total energy = -19.6 eV for the cell shown
Mass density = 8.1 g cm⁻³
V = 18.6 Å³ per atom

a = 3.3637 Å, b = 3.3637 Å, c = 7.8291 Å
α = 77.60°, β = 77.60°, γ = 60.00°
Sites, in units of the cell vectors:
1 In 0.2510 0.2510 0.2470
2 In 0.7490 0.7490 0.7530
3 P 0.5000 0.5000 0.5000
4 Rh 0.0000 0.0000 0.0000



Entry 2:
# CrHRh3

A relaxed structure of CrHRh3 (PBEsol, Alexandria via LeMat-Bulk).

Symmetry = Pm-3m (221)
Total energy = -38.4 eV for the cell shown
Mass density = 10.9 g cm⁻³
V = 11.0 Å³ per atom

a = 3.8026 Å, b = 3.8026 Å, c = 3.8026 Å
α = 90.00°, β = 90.00°, γ = 90.00°
Last column: magnetic moment on the atom in μB.
Sites, in units of the cell vectors:
1 Cr 0.5000 0.5000 0.5000  2.18
2 Rh 0.0000 0.5000 0.0000  -0.19
3 Rh 0.0000 0.0000 0.5000  -0.19
4 Rh 0.5000 0.0000 0.0000  -0.19
5 H 0.0000 0.0000 0.0000  0.00



Entry 3:
# Sr2Mo

A relaxed structure of Sr2Mo (PBEsol, Alexandria via LeMat-Bulk).

Symmetry = I4_1/amd (141)
Total energy = -24.5 eV for the cell shown
Mass density = 5.2 g cm⁻³
V = 29.0 Å³ per atom
Energy above the lowest structure with this stoichiometry = 266 meV per atom

a = 3.2153 Å, b = 3.2153 Å, c = 16.9938 Å
α = 95.43°, β = 95.43°, γ = 90.00°
Sites, in units of the cell vectors:
1 Mo 0.2500 0.7500 0.5000
2 Mo 0.0000 0.0000 0.0000
3 Sr 0.8194 0.3194 0.6387
4 Sr 0.4306 0.4306 0.8613
5 Sr 0.6806 0.1806 0.3613
6 Sr 0.5694 0.5694 0.1387



Entry 4:
# HgTe2Pb

A relaxed structure of HgTe2Pb (PBEsol, Alexandria via LeMat-Bulk).

Symmetry = Cm (8)
Total energy = -12.0 eV for the cell shown
Mass density = 8.4 g cm⁻³
V = 32.7 Å³ per atom
Formation energy without anion corrections = -0.11 eV/atom

a = 4.2933 Å, b = 4.4167 Å, c = 7.2162 Å
α = 90.21°, β = 107.31°, γ = 90.00°
Sites, in units of the cell vectors:
1 Hg 0.4576 0.5767 0.9152
2 Pb 0.7143 0.7569 0.4285
3 Te 0.0415 0.9014 0.0830
4 Te 0.2867 0.2650 0.5733